Record 1
Below is an optimized crystal structure of UMnAl, with properties calculated at the PBE level.

Unit cell a=8.1652 b=5.3544 c=5.3544 alpha=59.03 beta=90.00 gamma=90.00
With the nearest neighbours (Å) after each atom.
Positions (direct):
U (0.1631, 0.0000, 0.0000)  1 U 2.66, 4 Mn 2.96
U (0.3092, 0.3445, 0.3445)  5 Mn 2.92-3.06, 7 Al 3.08-3.15, 3 U 3.12-3.24
U (0.6908, 0.3445, 0.3445)  5 Mn 2.92-3.06, 7 Al 3.08-3.15, 3 U 3.12-3.24
U (0.8369, 0.0000, 0.0000)  1 U 2.66, 4 Mn 2.96
Mn (0.0000, 0.0202, 0.4963)  4 Mn 2.51-2.76, 2 Al 2.52
Mn (0.0000, 0.4963, 0.0202)  4 Mn 2.51-2.76, 2 Al 2.52
Mn (0.0000, 0.5029, 0.5029)  2 Al 2.55, 4 Mn 2.60-2.75
Mn (0.5000, 0.8469, 0.8469)  6 Al 2.61-2.75
Al (0.2406, 0.6770, 0.6770)  4 Mn 2.52-2.64, 2 Al 2.64
Al (0.5000, 0.3345, 0.8459)  4 Al 2.58-2.70, 2 Mn 2.61-2.75
Al (0.5000, 0.8459, 0.3345)  4 Al 2.58-2.70, 2 Mn 2.61-2.75
Al (0.7594, 0.6770, 0.6770)  4 Mn 2.52-2.64, 2 Al 2.64

Values from the calculation:
**N(E_F)**: 18.2 states/eV/cell

Record 2
Below is an optimized crystal structure of UMnAl, with properties calculated at the PBE level.

Unit cell a=6.0244 b=6.0021 c=5.8644 alpha=90.00 beta=105.65 gamma=90.00
With the nearest neighbours (Å) after each atom.
Positions (direct):
U (0.1975, 0.0723, 0.4646)  1 Mn 2.14
U (0.1975, 0.4277, 0.9646)  1 Mn 2.14
U (0.8025, 0.5723, 0.0354)  1 Mn 2.14
U (0.8025, 0.9277, 0.5354)  1 Mn 2.14
Mn (0.4772, 0.2394, 0.7064)  1 U 2.14
Mn (0.4772, 0.2606, 0.2064)  1 U 2.14
Mn (0.5228, 0.7394, 0.7936)  1 U 2.14
Mn (0.5228, 0.7606, 0.2936)  1 U 2.14
Al (0.2133, 0.5728, 0.4617)  3 Mn 2.51-2.71
Al (0.2133, 0.9272, 0.9617)  3 Mn 2.51-2.71
Al (0.7867, 0.0728, 0.0383)  3 Mn 2.51-2.71
Al (0.7867, 0.4272, 0.5383)  3 Mn 2.51-2.71

Values from the calculation:
**N(E_F)**: 13.8 states/eV/cell

Record 3
Below is an optimized crystal structure of UMn5Al7, with properties calculated at the PBE level.

Unit cell a=6.6399 b=6.6399 c=6.6399 alpha=135.02 beta=98.43 gamma=98.40
With the nearest neighbours (Å) after each atom.
Positions (direct):
U (0.0000, 0.0000, 0.0000)  8 Al 2.90-3.12, 6 Mn 3.15-3.18
Mn (0.2146, 0.7146, 0.5000)  4 Mn 2.52, 6 Al 2.63-2.74
Mn (0.4787, 0.4735, 0.4882)  3 Mn 2.45-2.63, 7 Al 2.50-2.69
Mn (0.4787, 0.9905, 0.0053)  3 Mn 2.45-2.63, 7 Al 2.50-2.69
Mn (0.9852, 0.4735, 0.9947)  3 Mn 2.45-2.63, 7 Al 2.50-2.69
Mn (0.9852, 0.9905, 0.5118)  3 Mn 2.45-2.63, 7 Al 2.50-2.69
Al (0.1983, 0.4892, 0.7091)  5 Mn 2.50-2.67, 3 Al 2.70-2.80
Al (0.3176, 0.9742, 0.3434)  5 Mn 2.60-2.69, 4 Al 2.72-2.82
Al (0.3341, 0.3341, 0.0000)  6 Mn 2.62-2.74, 3 Al 2.76-2.86, 1 U 2.90
Al (0.6308, 0.9742, 0.6566)  5 Mn 2.60-2.69, 4 Al 2.72-2.82
Al (0.6519, 0.6519, 0.0000)  4 Mn 2.65, 5 Al 2.70-2.89
Al (0.7591, 0.2591, 0.5000)  4 Mn 2.53, 6 Al 2.70-2.82
Al (0.7800, 0.4892, 0.2908)  5 Mn 2.50-2.67, 3 Al 2.70-2.80

Values from the calculation:
**N(E_F)**: 12.2 states/eV/cell

Record 4
Below is an optimized crystal structure of U2MnAl3, with properties calculated at the PBE level.

Unit cell a=5.4995 b=5.4995 c=5.4995 alpha=56.08 beta=56.08 gamma=56.08
With the nearest neighbours (Å) after each atom.
Positions (direct):
U (0.1397, 0.1397, 0.1397)  3 Mn 3.01, 9 Al 3.07-3.23, 3 U 3.08
U (0.8603, 0.8603, 0.8603)  3 Mn 3.01, 9 Al 3.07-3.23, 3 U 3.08
Mn (0.5000, 0.5000, 0.5000)  6 Al 2.75, 6 U 3.01
Al (0.0000, 0.5000, 0.5000)  4 Al 2.59, 2 Mn 2.75
Al (0.5000, 0.0000, 0.5000)  4 Al 2.59, 2 Mn 2.75
Al (0.5000, 0.5000, 0.0000)  4 Al 2.59, 2 Mn 2.75

Values from the calculation:
**N(E_F)**: 8.8 states/eV/cell

Record 5
Below is an optimized crystal structure of UMn4Al8, with properties calculated at the PBE level.

Unit cell a=6.7100 b=6.7100 c=6.7100 alpha=98.46 beta=98.46 gamma=134.89
With the nearest neighbours (Å) after each atom.
Positions (direct):
U (0.0000, 0.0000, 0.0000)  12 Al 2.99-3.22
Mn (0.0000, 0.0000, 0.5000)  8 Al 2.55-2.66, 2 Mn 2.57
Mn (0.0000, 0.5000, 0.0000)  8 Al 2.55-2.66, 2 Mn 2.57
Mn (0.5000, 0.0000, 0.0000)  8 Al 2.55-2.66, 2 Mn 2.57
Mn (0.5000, 0.5000, 0.5000)  8 Al 2.55-2.66, 2 Mn 2.57
Al (0.0000, 0.3409, 0.3409)  4 Mn 2.66, 5 Al 2.78-2.81
Al (0.0000, 0.6591, 0.6591)  4 Mn 2.66, 5 Al 2.78-2.81
Al (0.2786, 0.5000, 0.7786)  4 Mn 2.55, 6 Al 2.74-2.81
Al (0.3409, 0.0000, 0.3409)  4 Mn 2.66, 5 Al 2.78-2.81
Al (0.5000, 0.2786, 0.7786)  4 Mn 2.55, 6 Al 2.74-2.81
Al (0.5000, 0.7214, 0.2214)  4 Mn 2.55, 6 Al 2.74-2.81
Al (0.6591, 0.0000, 0.6591)  4 Mn 2.66, 5 Al 2.78-2.81
Al (0.7214, 0.5000, 0.2214)  4 Mn 2.55, 6 Al 2.74-2.81

Values from the calculation:
**N(E_F)**: 12.4 states/eV/cell

Record 6
Below is an optimized crystal structure of UMnAl, with properties calculated at the PBE level.

Unit cell a=2.9385 b=2.9385 c=11.1996 alpha=90.00 beta=90.00 gamma=90.00
With the nearest neighbours (Å) after each atom.
Positions (direct):
U (0.0000, 0.0000, 0.0000)  4 Mn 2.66, 4 U 2.94
U (0.5000, 0.5000, 0.5000)  4 Mn 2.66, 4 U 2.94
Mn (0.0000, 0.0000, 0.3516)  4 Al 2.56, 4 U 2.66
Mn (0.5000, 0.5000, 0.8516)  4 Al 2.56, 4 U 2.66
Al (0.0000, 0.0000, 0.7176)  4 Mn 2.56
Al (0.5000, 0.5000, 0.2176)  4 Mn 2.56

Values from the calculation:
**N(E_F)**: 6.5 states/eV/cell

no.,DFT formation energy (eV/atom)
1,-0.12
2,-0.07
3,-0.22
4,-0.14
5,-0.26
6,-0.12